The following is a DFT calculation (GGA-PBE) of a relaxed structure of CrHgW2.

Unit cell a=2.772 b=4.387 c=5.550 alpha=90.00 beta=101.73 gamma=90.00
Fractional coordinates of all 4 atoms:
1 Cr 0.000 0.000 0.000
2 Hg 0.908 0.500 0.295
3 W 0.265 0.500 0.815
4 W 0.547 0.000 0.581

Calculated values
As for the formation energy: 584 meV/atom. The calculated volume comes out at 66.07 Å³ per cell. The density of states at the Fermi level comes out at 2.46 states/eV per cell.